# 1
First-principles (GGA-PBE) data for ReTc2Ru after structural relaxation, as listed in Alexandria.

Results
The value obtained for the total energy is -10.555 eV per atom. For the density of states at the Fermi level, the calculation gives 4.3 states/eV per cell.

a b c (Å): 9.099 9.099 9.099
angles (deg): 17.31 17.31 17.31
Fractional positions:
Re (0.000, 0.000, 0.000)
Tc (0.250, 0.250, 0.250)
Tc (0.750, 0.750, 0.750)
Ru (0.500, 0.500, 0.500)

# 2
First-principles (GGA-PBE) data for Re2TcRu after structural relaxation, as listed in Alexandria.

Results
The value obtained for the total energy is -10.804 eV per atom. For the density of states at the Fermi level, the calculation gives 4.9 states/eV per cell.

a b c (Å): 5.276 5.276 2.683
angles (deg): 102.64 102.64 118.47
Fractional positions:
Re (0.000, 0.500, 0.000)
Re (0.500, 0.000, 0.000)
Tc (0.000, 0.000, 0.500)
Ru (0.500, 0.500, 0.500)

# 3
First-principles (GGA-PBE) data for ReTc2Ru after structural relaxation, as listed in Alexandria.

Results
The value obtained for the total energy is -10.260 eV per atom. For the density of states at the Fermi level, the calculation gives 7.0 states/eV per cell.

a b c (Å): 4.370 4.370 4.370
angles (deg): 60.00 60.00 60.00
Fractional positions:
Re (0.000, 0.000, 0.000)
Tc (0.250, 0.250, 0.250)
Tc (0.750, 0.750, 0.750)
Ru (0.500, 0.500, 0.500)

# 4
First-principles (GGA-PBE) data for ReTcRu2 after structural relaxation, as listed in Alexandria.

Results
The value obtained for the total energy is -10.299 eV per atom. For the density of states at the Fermi level, the calculation gives 3.7 states/eV per cell.

a b c (Å): 4.723 4.720 3.860
angles (deg): 65.91 65.84 48.25
Fractional positions:
Re (0.000, 0.000, 0.000)
Tc (0.750, 0.750, 0.750)
Ru (0.250, 0.250, 0.250)
Ru (0.500, 0.500, 0.500)

The records above give, respectively, E_form values of 0.0592; 0.3306; 0.3540; 0.0426 eV per atom.
The records above give, respectively, magnetization values of 0.000; 0.000; 0.167; 0.000 μB per atom.
The records above give, respectively, ΔE to the lowest computed polymorph values of 94; 295; 389; 120 meV per atom.